# 1
Here is Ca2AlSe at its PBEsol-relaxed geometry from Alexandria. Energies are from meta-GGA SCAN.

POSCAR file:
```
Ca2AlSe
1.0
6.660 -0.094 0.000
-2.806 6.041 0.000
-1.927 -2.973 5.640
Al Se Ca
2 2 4
Cartesian
1.927 2.973 0.000
3.330 -0.047 2.820
0.000 0.000 0.000
-1.403 3.021 2.820
2.547 3.628 2.984
2.022 -2.366 5.477
0.344 0.832 2.656
-1.059 3.853 0.164
```

Results
V, Å³/cell: 225.5
Total energy, Ry/atom: -0.9175
Space group: I-42d, No. 122
Formation energy from raw total energies, meV per atom: -694
Energy relative to the lowest polymorph listed for this composition, meV per atom: 302
Crystal system: tetragonal



# 2
Here is Cu2TeOs2 at its PBEsol-relaxed geometry from Alexandria. Energies are from meta-GGA SCAN.

POSCAR file:
```
Cu2TeOs2
1.0
3.599 0.000 0.000
0.000 3.599 0.000
-1.800 -1.800 6.156
Cu Os Te
2 2 1
Cartesian
1.800 1.800 1.222
0.000 0.000 4.934
0.000 1.800 3.078
1.800 0.000 3.078
0.000 0.000 0.000
```

Results
V, Å³/cell: 79.7
Total energy, Ry/atom: -3.0485
Space group: I4/mmm, No. 139
Formation energy from raw total energies, meV per atom: 805
Crystal system: tetragonal



# 3
Here is MnRu2Rh at its PBEsol-relaxed geometry from Alexandria. Energies are from meta-GGA SCAN.

POSCAR file:
```
MnRu2Rh
1.0
-0.027 -0.594 -2.575
-0.591 -3.549 0.825
-5.205 0.835 -0.139
Ru Rh Mn
2 1 1
Cartesian
-0.042 0.007 -0.001
-1.618 -1.862 -0.910
-4.172 -1.452 -0.978
-2.594 0.416 -0.069
```

Results
V, Å³/cell: 51.4
Total energy, Ry/atom: -2.2400
DFT formation energy, eV/atom: -0.058
Space group: Pmm2, No. 25
Crystal system: orthorhombic



# 4
Here is Ca3NbAs at its PBEsol-relaxed geometry from Alexandria. Energies are from meta-GGA SCAN.

POSCAR file:
```
Ca3NbAs
1.0
-3.194 1.478 3.945
-3.050 -4.227 -0.885
2.907 -2.810 3.407
Nb Ca As
1 3 1
Cartesian
0.000 0.000 0.000
-1.597 0.739 1.973
-1.525 -2.114 -0.443
1.453 -1.405 1.703
-1.669 -2.780 3.233
```

Results
V, Å³/cell: 147.8
Total energy, Ry/atom: -1.1405
DFT formation energy, eV/atom: 0.944
Space group: Pm-3m, No. 221
Crystal system: cubic



# 5
Here is KAl at its PBEsol-relaxed geometry from Alexandria. Energies are from meta-GGA SCAN.

POSCAR file:
```
KAl
1.0
3.193 0.000 0.000
0.000 3.193 0.000
0.000 0.000 5.730
Al K
1 1
Cartesian
0.000 0.000 0.000
1.596 1.596 2.865
```

Results
V, Å³/cell: 58.4
Total energy, Ry/atom: -0.5546
DFT formation energy, eV/atom: 0.495
Space group: P4/mmm, No. 123
Energy relative to the lowest polymorph listed for this composition, meV per atom: 233
Crystal system: tetragonal



# 6
Here is Pm2CdGa at its PBEsol-relaxed geometry from Alexandria. Energies are from meta-GGA SCAN.

POSCAR file:
```
Pm2CdGa
1.0
5.213 0.000 0.000
2.606 4.514 0.000
2.606 1.505 4.256
Cd Pm Ga
1 2 1
Cartesian
5.213 3.010 2.128
7.819 4.514 3.192
2.606 1.505 1.064
0.000 0.000 0.000
```

Results
V, Å³/cell: 100.2
Total energy, Ry/atom: -2.5152
DFT formation energy, eV/atom: -0.538
Space group: Fm-3m, No. 225
Crystal system: cubic



# 7
Here is Ag2BrCl at its PBEsol-relaxed geometry from Alexandria. Energies are from meta-GGA SCAN.

POSCAR file:
```
Ag2BrCl
1.0
-0.019 -1.479 3.785
3.021 -2.411 1.254
4.351 3.985 3.761
Br Ag Cl
1 2 1
Cartesian
3.961 0.495 4.576
3.018 -3.866 5.049
5.552 0.130 6.623
1.503 -0.505 1.991
```

Results
V, Å³/cell: 94.3
Total energy, Ry/atom: -1.6847
Space group: R3m, No. 160
Formation energy from raw total energies, meV per atom: -379
Energy relative to the lowest polymorph listed for this composition, meV per atom: 80
Crystal system: trigonal



# 8
Here is Sc3BeBi at its PBEsol-relaxed geometry from Alexandria. Energies are from meta-GGA SCAN.

POSCAR file:
```
Sc3BeBi
1.0
4.777 0.000 0.000
0.000 4.777 0.000
0.000 0.000 4.777
Sc Be Bi
3 1 1
Cartesian
0.000 0.000 2.388
2.388 0.000 0.000
0.000 2.388 0.000
0.000 0.000 0.000
2.388 2.388 2.388
```

Results
V, Å³/cell: 109.0
Total energy, Ry/atom: -1.8653
DFT formation energy, eV/atom: -0.250
Space group: Pm-3m, No. 221
Crystal system: cubic



# 9
Here is SiRuPt at its PBEsol-relaxed geometry from Alexandria. Energies are from meta-GGA SCAN.

POSCAR file:
```
SiRuPt
1.0
-3.368 2.091 -0.124
-2.150 0.101 -3.332
-3.492 -1.874 -0.164
Si Ru Pt
1 1 1
Cartesian
-2.253 0.080 -0.905
-4.505 0.159 -1.810
0.000 0.000 0.000
```

Results
V, Å³/cell: 44.1
Total energy, Ry/atom: -2.8675
Space group: F-43m, No. 216
Formation energy from raw total energies, meV per atom: -669
Energy relative to the lowest polymorph listed for this composition, meV per atom: 0
Crystal system: cubic



# 10
Here is La5Sb at its PBEsol-relaxed geometry from Alexandria. Energies are from meta-GGA SCAN.

POSCAR file:
```
La5Sb
1.0
-0.123 -2.515 4.177
1.212 -4.089 -2.426
7.690 2.825 -0.920
La Sb
5 1
Cartesian
2.414 0.496 0.370
0.606 -2.045 -1.213
5.857 -0.966 -0.409
2.922 -2.814 1.240
5.152 -0.186 2.888
-0.062 -1.258 2.089
```

Results
V, Å³/cell: 188.5
Total energy, Ry/atom: -3.1266
Space group: Cmmm, No. 65
Formation energy from raw total energies, meV per atom: -409
Energy relative to the lowest polymorph listed for this composition, meV per atom: 0
Crystal system: orthorhombic



# 11
Here is CaRu3 at its PBEsol-relaxed geometry from Alexandria. Energies are from meta-GGA SCAN.

POSCAR file:
```
CaRu3
1.0
-0.276 1.717 4.067
-0.640 -2.652 3.482
3.268 -0.662 2.906
Ca Ru
1 3
Cartesian
0.000 0.000 0.000
1.764 -1.199 7.842
1.176 -0.799 5.228
0.588 -0.400 2.614
```

Results
V, Å³/cell: 61.2
Total energy, Ry/atom: -2.0553
DFT formation energy, eV/atom: 0.572
Space group: Fm-3m, No. 225
Crystal system: cubic



# 12
Here is YIn2HgPd at its PBEsol-relaxed geometry from Alexandria. Energies are from meta-GGA SCAN.

POSCAR file:
```
YIn2HgPd
1.0
5.134 0.000 0.000
0.000 5.134 0.000
0.000 0.000 5.594
In Hg Y Pd
2 1 1 1
Cartesian
0.000 2.567 0.000
2.567 0.000 0.000
0.000 0.000 0.000
0.000 0.000 2.797
2.567 2.567 2.797
```

Results
V, Å³/cell: 147.4
Total energy, Ry/atom: -2.8418
DFT formation energy, eV/atom: 0.447
Space group: P4/mmm, No. 123
Crystal system: tetragonal



Question: Among the records above, which one has the lowest V?
Answer: SiRuPt